Record 1
DFT (PBE) results for an optimized crystal structure of CsAcTlSe3.

The calculation puts the density of states at the Fermi level at 2.229 states/eV per cell. Its total magnetization is 0.000 μB/f.u.

```
data_CsAcTlSe3
_cell_length_a 9.532
_cell_length_b 4.978
_cell_length_c 10.802
_cell_angle_alpha 90.00
_cell_angle_beta 106.90
_cell_angle_gamma 90.00
_space_group_name_H-M_alt 'P 1 21/m 1'
_space_group_IT_number 11
loop_
_space_group_symop_operation_xyz
'x,y,z'
'-x,-y,-z'
'-x,y+1/2,-z'
'x,-y+1/2,z'
loop_
_atom_site_label
_atom_site_fract_x
_atom_site_fract_y
_atom_site_fract_z
Cs1 0.216 0.250 0.238
Ac1 0.325 0.750 0.862
Tl1 0.114 0.250 0.599
Se1 0.110 0.250 0.859
Se2 0.212 0.750 0.542
Se3 0.473 0.750 0.151
```

Record 2
DFT (PBE) results for an optimized crystal structure of Cs3Ac2TmSe6.

The calculation puts the density of states at the Fermi level at 0.000 states/eV per cell. Its total magnetization is 0.000 μB/f.u.

```
data_Cs3Ac2TmSe6
_cell_length_a 7.797
_cell_length_b 13.502
_cell_length_c 8.813
_cell_angle_alpha 90.00
_cell_angle_beta 107.20
_cell_angle_gamma 90.00
_space_group_name_H-M_alt 'C 1 2/m 1'
_space_group_IT_number 12
loop_
_space_group_symop_operation_xyz
'x,y,z'
'-x,-y,-z'
'-x,y,-z'
'x,-y,z'
'x+1/2,y+1/2,z'
'-x+1/2,-y+1/2,-z'
'-x+1/2,y+1/2,-z'
'x+1/2,-y+1/2,z'
loop_
_atom_site_label
_atom_site_fract_x
_atom_site_fract_y
_atom_site_fract_z
Cs1 0.000 0.000 0.000
Cs2 0.000 0.331 0.000
Ac1 0.000 0.166 0.500
Tm1 0.000 0.500 0.500
Se1 0.220 0.344 0.691
Se2 0.248 0.500 0.308
```

Record 3
DFT (PBE) results for an optimized crystal structure of Cs4Ac3TmSe8.

The calculation puts the density of states at the Fermi level at 0.000 states/eV per cell. Its total magnetization is 0.000 μB/f.u.

```
data_Cs4Ac3TmSe8
_cell_length_a 9.0742
_cell_length_b 9.0742
_cell_length_c 25.2822
_cell_angle_alpha 90.00
_cell_angle_beta 90.00
_cell_angle_gamma 120.00
_space_group_name_H-M_alt 'R -3 m'
_space_group_IT_number 166
_space_group_name_Hall '-R 3 2"'
loop_
_atom_site_label
_atom_site_fract_x
_atom_site_fract_y
_atom_site_fract_z
Cs1 0.0000 0.0000 0.0000
Cs2 0.0000 0.5000 0.0000
Ac1 0.0000 0.5000 0.5000
Tm1 0.0000 0.0000 0.5000
Se1 0.0000 0.0000 0.2332
Se2 0.0197 0.5098 0.2300
```

Record 4
DFT (PBE) results for an optimized crystal structure of Cs3AcTm2Se6.

The calculation puts the density of states at the Fermi level at 0.000 states/eV per cell. Its total magnetization is 0.000 μB/f.u.

```
data_Cs3AcTm2Se6
_cell_length_a 7.550
_cell_length_b 13.075
_cell_length_c 8.769
_cell_angle_alpha 90.00
_cell_angle_beta 106.73
_cell_angle_gamma 90.00
_space_group_name_H-M_alt 'C 1 2/m 1'
_space_group_IT_number 12
loop_
_space_group_symop_operation_xyz
'x,y,z'
'-x,-y,-z'
'-x,y,-z'
'x,-y,z'
'x+1/2,y+1/2,z'
'-x+1/2,-y+1/2,-z'
'-x+1/2,y+1/2,-z'
'x+1/2,-y+1/2,z'
loop_
_atom_site_label
_atom_site_fract_x
_atom_site_fract_y
_atom_site_fract_z
Cs1 0.000 0.000 0.000
Cs2 0.000 0.337 0.000
Ac1 0.000 0.500 0.500
Tm1 0.000 0.167 0.500
Se1 0.207 0.000 0.686
Se2 0.240 0.322 0.688
```

Record 5
DFT (PBE) results for an optimized crystal structure of Cs4Ac3USe8.

The calculation puts the density of states at the Fermi level at 19.840 states/eV per cell. Its total magnetization is 2.987 μB/f.u.

```
data_Cs4Ac3USe8
_cell_length_a 9.1535
_cell_length_b 9.1535
_cell_length_c 25.2713
_cell_angle_alpha 90.00
_cell_angle_beta 90.00
_cell_angle_gamma 120.00
_space_group_name_H-M_alt 'R -3 m'
_space_group_IT_number 166
_space_group_name_Hall '-R 3 2"'
loop_
_atom_site_label
_atom_site_fract_x
_atom_site_fract_y
_atom_site_fract_z
Cs1 0.0000 0.0000 0.0000
Cs2 0.0000 0.5000 0.0000
Ac1 0.0000 0.5000 0.5000
U1 0.0000 0.0000 0.5000
Se1 0.0000 0.0000 0.2329
Se2 0.0128 0.5064 0.2307
```

Record 6
DFT (PBE) results for an optimized crystal structure of CsAc2USe5.

The calculation puts the density of states at the Fermi level at 12.446 states/eV per cell. Its total magnetization is 2.959 μB/f.u.

```
data_CsAc2USe5
_cell_length_a 5.377
_cell_length_b 7.876
_cell_length_c 15.157
_cell_angle_alpha 90.00
_cell_angle_beta 90.00
_cell_angle_gamma 90.00
_space_group_name_H-M_alt 'I m m m'
_space_group_IT_number 71
_space_group_name_Hall '-I 2 2'
loop_
_atom_site_label
_atom_site_fract_x
_atom_site_fract_y
_atom_site_fract_z
Cs1 0.000 0.000 0.000
Ac1 0.000 0.500 0.205
U1 0.000 0.000 0.500
Se1 0.000 0.232 0.351
Se2 0.000 0.500 0.000
```

Record 7
DFT (PBE) results for an optimized crystal structure of Cs3AcU2Se6.

The calculation puts the density of states at the Fermi level at 22.305 states/eV per cell. Its total magnetization is 6.014 μB/f.u.

```
data_Cs3AcU2Se6
_cell_length_a 7.636
_cell_length_b 13.223
_cell_length_c 8.810
_cell_angle_alpha 90.00
_cell_angle_beta 106.81
_cell_angle_gamma 90.00
_space_group_name_H-M_alt 'C 1 2/m 1'
_space_group_IT_number 12
loop_
_space_group_symop_operation_xyz
'x,y,z'
'-x,-y,-z'
'-x,y,-z'
'x,-y,z'
'x+1/2,y+1/2,z'
'-x+1/2,-y+1/2,-z'
'-x+1/2,y+1/2,-z'
'x+1/2,-y+1/2,z'
loop_
_atom_site_label
_atom_site_fract_x
_atom_site_fract_y
_atom_site_fract_z
Cs1 0.000 0.000 0.000
Cs2 0.000 0.336 0.000
Ac1 0.000 0.500 0.500
U1 0.000 0.167 0.500
Se1 0.212 0.000 0.689
Se2 0.239 0.324 0.691
```

Record 8
DFT (PBE) results for an optimized crystal structure of Cs2AcU2Se7.

The calculation puts the density of states at the Fermi level at 15.974 states/eV per cell. Its total magnetization is 3.000 μB/f.u.

```
data_Cs2AcU2Se7
_cell_length_a 5.470
_cell_length_b 5.470
_cell_length_c 28.793
_cell_angle_alpha 90.00
_cell_angle_beta 90.00
_cell_angle_gamma 90.00
_space_group_name_H-M_alt 'I 4/m m m'
_space_group_IT_number 139
_space_group_name_Hall '-I 4 2'
loop_
_atom_site_label
_atom_site_fract_x
_atom_site_fract_y
_atom_site_fract_z
Cs1 0.000 0.000 0.186
Ac1 0.000 0.000 0.000
U1 0.000 0.000 0.406
Se1 0.000 0.000 0.315
Se2 0.000 0.000 0.500
Se3 0.000 0.500 0.074
```

Record 9
DFT (PBE) results for an optimized crystal structure of Cs4AcU3Se12.

The calculation puts the density of states at the Fermi level at 19.585 states/eV per cell. Its total magnetization is 1.001 μB/f.u.

```
data_Cs4AcU3Se12
_cell_length_a 11.207
_cell_length_b 11.207
_cell_length_c 11.207
_cell_angle_alpha 90.00
_cell_angle_beta 90.00
_cell_angle_gamma 90.00
_space_group_name_H-M_alt 'I m -3 m'
_space_group_IT_number 229
_space_group_name_Hall '-I 4 2 3'
loop_
_atom_site_label
_atom_site_fract_x
_atom_site_fract_y
_atom_site_fract_z
Cs1 0.250 0.250 0.250
Ac1 0.000 0.000 0.000
U1 0.000 0.000 0.500
Se1 0.000 0.000 0.267
Se2 0.000 0.250 0.500
```

Record 10
DFT (PBE) results for an optimized crystal structure of Cs2Ac2USe6.

The calculation puts the density of states at the Fermi level at 14.007 states/eV per cell. Its total magnetization is 2.000 μB/f.u.

```
data_Cs2Ac2USe6
_cell_length_a 7.823
_cell_length_b 13.359
_cell_length_c 8.944
_cell_angle_alpha 90.00
_cell_angle_beta 107.09
_cell_angle_gamma 90.00
_space_group_name_H-M_alt 'C 1 2/m 1'
_space_group_IT_number 12
loop_
_space_group_symop_operation_xyz
'x,y,z'
'-x,-y,-z'
'-x,y,-z'
'x,-y,z'
'x+1/2,y+1/2,z'
'-x+1/2,-y+1/2,-z'
'-x+1/2,y+1/2,-z'
'x+1/2,-y+1/2,z'
loop_
_atom_site_label
_atom_site_fract_x
_atom_site_fract_y
_atom_site_fract_z
Cs1 0.000 0.171 0.000
Ac1 0.000 0.334 0.500
U1 0.000 0.000 0.500
Se1 0.218 0.156 0.686
Se2 0.242 0.000 0.314
```

Number 1: uncorrected formation energy -7.3 eV/f.u.. Number 2: uncorrected formation energy -21.1 eV/f.u.. Number 3: uncorrected formation energy -28.2 eV/f.u.. Number 4: uncorrected formation energy -20.7 eV/f.u.. Number 5: uncorrected formation energy -26.2 eV/f.u.. Number 6: uncorrected formation energy -14.5 eV/f.u.. Number 7: uncorrected formation energy -16.6 eV/f.u.. Number 8: uncorrected formation energy -15.8 eV/f.u.. Number 9: uncorrected formation energy -25.0 eV/f.u.. Number 10: uncorrected formation energy -17.8 eV/f.u..